Entry 1:
A geometry-optimized Li5CdGa4 structure, computed with GGA-PBE.

```
Li5CdGa4
1.0
-2.7758 -0.4818 0.1886
-0.0811 -0.6114 -2.7554
3.7259 -19.7900 4.2815
Li Cd Ga
5 1 4
direct
0.5000 0.5000 0.1092
0.5000 0.5000 0.3026
0.5000 0.5000 0.5000
0.5000 0.5000 0.6974
0.5000 0.5000 0.8908
0.0000 0.0000 0.0000
0.0000 0.0000 0.2052
0.0000 0.0000 0.4013
0.0000 0.0000 0.5987
0.0000 0.0000 0.7948
```

Calculated values
Volume: 16.41 Å³/atom
Energy of formation from the pure elements: -0.250 eV per atom
SG: P4/mmm, No. 123
E: -0.092 Ha/atom

Entry 2:
A geometry-optimized Li3Cd3Ga structure, computed with GGA-PBE.

```
Li3Cd3Ga
1.0
-1.8936 -3.4580 2.6750
3.2741 -5.4520 -4.7300
3.9822 2.6948 6.3025
Li Cd Ga
6 6 2
direct
0.2500 0.5151 0.6185
0.2500 0.1028 0.4845
0.2500 0.3812 0.8969
0.7500 0.4849 0.3815
0.7500 0.8972 0.5155
0.7500 0.6188 0.1031
0.7500 0.7386 0.8077
0.7500 0.0694 0.2615
0.7500 0.1921 0.9310
0.2500 0.2614 0.1923
0.2500 0.9306 0.7385
0.2500 0.8079 0.0690
0.7500 0.3333 0.6669
0.2500 0.6667 0.3331
```

Calculated values
Polymorph energy (0 for the lowest one): 0 meV per atom
Volume: 18.51 Å³/atom
Energy of formation from the pure elements: -0.214 eV per atom
SG: P2_1/m, No. 11
E: -0.068 Ha/atom